(1)
A geometry-optimized EuMgSn structure. Source: the Alexandria database, functional GGA-PBEsol.

Unit cell a=7.7692 b=4.7892 c=8.6798 alpha=90.00 beta=90.00 gamma=90.00
Space group Pnma (No. 62)
One atom of each set of equivalent atoms:
Eu (0.0117, 0.2500, 0.1971) [4 per cell]
Mg (0.1586, 0.2500, 0.5705) [4 per cell]
Sn (0.2296, 0.7500, 0.3954) [4 per cell]

Computed properties:
energy of formation	-0.614	eV/atom
uncorrected energy	-6.13	eV per atom
magnetic moment	28.10	μB per cell


(2)
A geometry-optimized EuMgZn2 structure. Source: the Alexandria database, functional GGA-PBEsol.

Unit cell a=6.8860 b=6.8860 c=6.8860 alpha=90.00 beta=90.00 gamma=90.00
Space group Fm-3m (No. 225)
One atom of each set of equivalent atoms:
Eu (0.0000, 0.0000, 0.0000) [4 per cell]
Mg (0.0000, 0.0000, 0.5000) [4 per cell]
Zn (0.2500, 0.2500, 0.2500) [8 per cell]

Computed properties:
energy of formation	-0.256	eV/atom
uncorrected energy	-4.12	eV per atom
magnetic moment	27.53	μB per cell


(3)
A geometry-optimized Eu2MnP3Pt7 structure. Source: the Alexandria database, functional GGA-PBEsol.

Unit cell a=4.0324 b=4.0324 c=26.7764 alpha=90.00 beta=90.00 gamma=90.00
Space group I-4m2 (No. 119)
One atom of each set of equivalent atoms:
Eu (0.0000, 0.0000, 0.1651) [4 per cell]
Mn (0.0000, 0.0000, 0.0000) [2 per cell]
P (0.0000, 0.0000, 0.3792) [4 per cell]
P (0.0000, 0.5000, 0.7500) [2 per cell]
Pt (0.0000, 0.0000, 0.2923) [4 per cell]
Pt (0.0000, 0.0000, 0.5000) [2 per cell]
Pt (0.0000, 0.5000, 0.0724) [4 per cell]
Pt (0.0000, 0.5000, 0.5715) [4 per cell]

Computed properties:
energy of formation	-0.867	eV/atom
uncorrected energy	-8.33	eV per atom
magnetic moment	17.68	μB per cell


(4)
A geometry-optimized Eu2Mo2O7 structure. Source: the Alexandria database, functional GGA-PBEsol.

Unit cell a=10.4062 b=10.4062 c=10.4062 alpha=90.00 beta=90.00 gamma=90.00
Space group Fd-3m (No. 227, origin choice 2)
One atom of each set of equivalent atoms:
Eu (0.0000, 0.0000, 0.0000) [16 per cell]
Mo (0.0000, 0.0000, 0.5000) [16 per cell]
O (0.0697, 0.3750, 0.8750) [48 per cell]
O (0.1250, 0.1250, 0.1250) [8 per cell]

Computed properties:
formation energy from raw total energies	-2.488	eV/atom
uncorrected energy	-9.89	eV per atom
magnetic moment	128.05	μB per cell


(5)
A geometry-optimized EuMo6S8 structure. Source: the Alexandria database, functional GGA-PBEsol.

Unit cell a=8.9919 b=8.9919 c=11.4177 alpha=90.00 beta=90.00 gamma=120.00
Space group R-3 (No. 148, hexagonal axes)
One atom of each set of equivalent atoms:
Eu (0.0000, 0.0000, 0.0000) [3 per cell]
Mo (0.0170, 0.1787, 0.4009) [18 per cell]
S (0.0000, 0.0000, 0.2421) [6 per cell]
S (0.0017, 0.3739, 0.2480) [18 per cell]

Computed properties:
formation energy from raw total energies	-0.994	eV/atom
uncorrected energy	-8.74	eV per atom
magnetic moment	19.46	μB per cell


(6)
A geometry-optimized EuNbNO2 structure. Source: the Alexandria database, functional GGA-PBEsol.

Unit cell a=4.0114 b=4.0114 c=4.0883 alpha=90.00 beta=90.00 gamma=90.00
Space group P4/mmm (No. 123)
One atom of each set of equivalent atoms:
Eu (0.0000, 0.0000, 0.0000) [1 per cell]
Nb (0.5000, 0.5000, 0.5000) [1 per cell]
N (0.5000, 0.5000, 0.0000) [1 per cell]
O (0.0000, 0.5000, 0.5000) [2 per cell]

Computed properties:
formation energy from raw total energies	-2.217	eV/atom
uncorrected energy	-10.30	eV per atom
magnetic moment	6.78	μB per cell


(7)
A geometry-optimized EuTaNO2 structure. Source: the Alexandria database, functional GGA-PBEsol.

Unit cell a=3.9817 b=3.9817 c=4.0795 alpha=90.00 beta=90.00 gamma=90.00
Space group P4/mmm (No. 123)
One atom of each set of equivalent atoms:
Eu (0.0000, 0.0000, 0.0000) [1 per cell]
Ta (0.5000, 0.5000, 0.5000) [1 per cell]
N (0.5000, 0.5000, 0.0000) [1 per cell]
O (0.0000, 0.5000, 0.5000) [2 per cell]

Computed properties:
formation energy from raw total energies	-2.417	eV/atom
uncorrected energy	-10.85	eV per atom
magnetic moment	6.84	μB per cell


(8)
A geometry-optimized Eu2SiN3 structure. Source: the Alexandria database, functional GGA-PBEsol.

Unit cell a=5.3855 b=10.5339 c=11.5502 alpha=90.00 beta=90.00 gamma=90.00
Space group Cmce (No. 64)
One atom of each set of equivalent atoms:
Eu (0.0000, 0.0517, 0.1445) [8 per cell]
Eu (0.0000, 0.1407, 0.5756) [8 per cell]
Si (0.0000, 0.2433, 0.3364) [8 per cell]
N (0.0000, 0.0795, 0.3665) [8 per cell]
N (0.0000, 0.1568, 0.9572) [8 per cell]
N (0.2500, 0.2182, 0.7500) [8 per cell]

Computed properties:
formation energy from raw total energies	-1.395	eV/atom
uncorrected energy	-10.14	eV per atom
magnetic moment	104.00	μB per cell